# La7Tm5 (PBE-GGA, optimized geometry)
data_La7Tm5
_cell_length_a 8.117
_cell_length_b 8.117
_cell_length_c 11.519
_cell_angle_alpha 114.98
_cell_angle_beta 114.98
_cell_angle_gamma 36.97
_space_group_name_H-M_alt 'P 1'
_space_group_IT_number 1
loop_
_space_group_symop_operation_xyz
'x,y,z'
loop_
_atom_site_label
_atom_site_type_symbol
_atom_site_fract_x
_atom_site_fract_y
_atom_site_fract_z
La1 La 0.000 0.000 0.000
La2 La 0.090 0.090 0.753
La3 La 0.168 0.168 0.492
La4 La 0.252 0.252 0.241
La5 La 0.419 0.419 0.749
La6 La 0.503 0.503 0.497
La7 La 0.836 0.836 0.497
Tm1 Tm 0.335 0.335 0.000
Tm2 Tm 0.581 0.581 0.240
Tm3 Tm 0.673 0.673 0.000
Tm4 Tm 0.754 0.754 0.754
Tm5 Tm 0.918 0.918 0.241
# * energy relative to the lowest polymorph listed for this composition: 0.0 meV per atom
# * SG: Cm